Record 1
Density functional theory data (PBE) for a relaxed Fe3NiB2 crystal.

Cell: 5.056 4.165 4.143 Å, 74.97 52.72 52.31°
Last column: magnetic moment on the atom in μB.
Positions (direct):
B: 0.250 0.250 0.250  -0.09
B: 0.750 0.750 0.750  -0.10
Fe: 0.335 0.665 0.335  1.94
Fe: 0.665 0.335 0.665  1.96
Fe: 0.167 0.167 0.833  2.13
Ni: 0.833 0.833 0.167  0.41

Summary:
Its calculated volume is 9.01 A^3/atom. Its raw total energy is -45.53 eV per cell. The value obtained for the magnetic moment is 1.04 μB/atom. The space group is Fmm2, No. 42.

---

Record 2
Density functional theory data (PBE) for a relaxed IrO3 crystal.

Cell: 5.234 5.234 9.453 Å, 100.75 100.75 119.95°
Positions (direct):
Ir: 0.500 0.500 0.000
Ir: 0.166 0.834 0.000
Ir: 0.167 0.833 0.500
Ir: 0.834 0.166 0.500
O: 0.529 0.863 0.117
O: 0.912 0.629 0.117
O: 0.297 0.247 0.119
O: 0.037 0.420 0.382
O: 0.422 0.038 0.383
O: 0.804 0.804 0.383
O: 0.196 0.196 0.617
O: 0.962 0.578 0.617
O: 0.580 0.963 0.618
O: 0.753 0.703 0.881
O: 0.371 0.088 0.883
O: 0.137 0.471 0.883

Summary:
Its calculated volume is 13.01 A^3/atom. Its raw total energy is -102.13 eV per cell. The value obtained for the magnetic moment is 0.00 μB/atom. The space group is C2/c, No. 15.

---

Record 3
Density functional theory data (PBE) for a relaxed BaLiNiAs crystal.

Cell: 4.814 4.814 4.814 Å, 60.00 60.00 60.00°
Positions (direct):
As: 0.500 0.500 0.500
Ba: 0.000 0.000 0.000
Li: 0.750 0.750 0.750
Ni: 0.250 0.250 0.250

Summary:
Its calculated volume is 19.72 A^3/atom. The value obtained for the polymorph energy (0 for the lowest one) is 0.000 eV per atom. The value obtained for the magnetic moment is 0.00 μB/atom. The space group is F-43m, No. 216.

---

Record 4
Density functional theory data (PBE) for a relaxed ZnPdNO crystal.

Cell: 5.693 3.028 5.744 Å, 90.00 90.00 90.00°
Positions (direct):
N: 0.845 0.000 0.371
N: 0.345 0.000 0.629
O: 0.385 0.500 0.124
O: 0.885 0.500 0.876
Pd: 0.021 0.500 0.226
Pd: 0.521 0.500 0.774
Zn: 0.502 0.000 0.314
Zn: 0.002 0.000 0.686

Summary:
Its calculated volume is 12.38 A^3/atom. The value obtained for the polymorph energy (0 for the lowest one) is 0.151 eV per atom. The space group is Pmc2_1, No. 26.

---

Record 5
Density functional theory data (PBE) for a relaxed PaAg crystal.

Cell: 4.610 4.610 4.610 Å, 60.00 60.00 60.00°
Last column: magnetic moment on the atom in μB.
Positions (direct):
Ag: 0.000 0.000 0.000  0.05
Pa: 0.250 0.250 0.250  1.46

Summary:
As for the energy of formation: 3.030 eV/f.u. Its calculated volume is 34.64 A^3/atom. The value obtained for the polymorph energy (0 for the lowest one) is 1.346 eV per atom. The value obtained for the magnetic moment is 0.97 μB/atom. The space group is F-43m, No. 216.

---

Record 6
Density functional theory data (PBE) for a relaxed BeCoReB crystal.

Cell: 3.787 3.787 3.787 Å, 60.00 60.00 60.00°
Positions (direct):
B: 0.000 0.000 0.000
Be: 0.500 0.500 0.500
Co: 0.750 0.750 0.750
Re: 0.250 0.250 0.250

Summary:
Its calculated volume is 9.60 A^3/atom. The value obtained for the polymorph energy (0 for the lowest one) is 0.000 eV per atom. The value obtained for the magnetic moment is 0.26 μB/atom. The space group is F-43m, No. 216.

---

Record 7
Density functional theory data (PBE) for a relaxed HoUPt crystal.

Cell: 4.813 4.813 4.813 Å, 60.00 60.00 60.00°
Positions (direct):
Ho: 0.250 0.250 0.250
Pt: 0.000 0.000 0.000
U: 0.750 0.750 0.750

Summary:
As for the energy of formation: -0.688 eV/f.u. Its calculated volume is 26.28 A^3/atom. The value obtained for the polymorph energy (0 for the lowest one) is 0.000 eV per atom. The value obtained for the magnetic moment is 1.08 μB/atom. The space group is F-43m, No. 216.

---

Record 8
Density functional theory data (PBE) for a relaxed Th2NbCu6 crystal.

Cell: 3.710 3.710 13.644 Å, 90.00 90.00 90.00°
Positions (direct):
Cu: 0.500 0.500 0.000
Cu: 0.500 0.000 0.137
Cu: 0.000 0.500 0.137
Cu: 0.500 0.500 0.500
Cu: 0.500 0.000 0.863
Cu: 0.000 0.500 0.863
Nb: 0.000 0.000 0.000
Th: 0.500 0.500 0.299
Th: 0.500 0.500 0.701

Summary:
As for the energy of formation: 4.438 eV/f.u. Its calculated volume is 20.87 A^3/atom. The value obtained for the magnetic moment is 0.00 μB/atom. The space group is P4/mmm, No. 123.

---

Record 9
Density functional theory data (PBE) for a relaxed SmMgZr crystal.

Cell: 5.019 5.019 5.019 Å, 60.00 60.00 60.00°
Positions (direct):
Mg: 0.000 0.000 0.000
Sm: 0.250 0.250 0.250
Zr: 0.750 0.750 0.750

Summary:
Its calculated volume is 29.79 A^3/atom. The value obtained for the polymorph energy (0 for the lowest one) is 0.000 eV per atom. The value obtained for the magnetic moment is 0.08 μB/atom. The space group is F-43m, No. 216.

---

Record 10
Density functional theory data (PBE) for a relaxed Pr3NdHo2NiTe2 crystal.

Cell: 4.033 8.609 8.609 Å, 120.52 90.00 90.00°
Positions (direct):
Ho: 0.000 0.767 0.000
Ho: 0.000 0.000 0.767
Nd: 0.000 0.237 0.237
Ni: 0.500 0.985 0.985
Pr: 0.500 0.408 0.001
Pr: 0.500 0.001 0.408
Pr: 0.500 0.595 0.595
Te: 0.000 0.672 0.335
Te: 0.000 0.335 0.672

Summary:
Its calculated volume is 28.62 A^3/atom. Its raw total energy is -46.77 eV per cell. The value obtained for the magnetic moment is 0.00 μB/atom. The space group is Amm2, No. 38.

---

Record 11
Density functional theory data (PBE) for a relaxed LuTlCuOs crystal.

Cell: 4.717 4.717 4.717 Å, 60.00 60.00 60.00°
Positions (direct):
Cu: 0.750 0.750 0.750
Lu: 0.250 0.250 0.250
Os: 0.500 0.500 0.500
Tl: 0.000 0.000 0.000

Summary:
Its calculated volume is 18.55 A^3/atom. The value obtained for the polymorph energy (0 for the lowest one) is 0.181 eV per atom. The value obtained for the magnetic moment is 0.00 μB/atom. The space group is F-43m, No. 216.

---

Record 12
Density functional theory data (PBE) for a relaxed Sc2Nb2O5 crystal.

Cell: 6.749 4.037 4.037 Å, 90.00 90.00 90.00°
Last column: magnetic moment on the atom in μB.
Positions (direct):
Nb: 0.195 0.500 0.500  0.01
Nb: 0.805 0.500 0.500  0.01
O: 0.225 0.500 0.000  0.00
O: 0.775 0.500 0.000  0.00
O: 0.225 0.000 0.500  -0.01
O: 0.775 0.000 0.500  -0.01
O: 0.500 0.500 0.500  0.00
Sc: 0.000 0.000 0.000  0.10
Sc: 0.500 0.000 0.000  0.41

Summary:
Its calculated volume is 12.22 A^3/atom. The value obtained for the polymorph energy (0 for the lowest one) is 0.119 eV per atom. The value obtained for the magnetic moment is 0.07 μB/atom. The space group is P4/mmm, No. 123.

---

Record 13
Density functional theory data (PBE) for a relaxed PrNiAs2 crystal.

Cell: 6.188 3.892 13.635 Å, 90.00 90.00 90.00°
Positions (direct):
As: 0.212 0.750 0.043
As: 0.901 0.750 0.186
As: 0.401 0.750 0.314
As: 0.712 0.750 0.457
As: 0.288 0.250 0.543
As: 0.599 0.250 0.686
As: 0.099 0.250 0.814
As: 0.788 0.250 0.957
Ni: 0.022 0.250 0.101
Ni: 0.522 0.250 0.399
Ni: 0.478 0.750 0.601
Ni: 0.978 0.750 0.899
Pr: 0.523 0.250 0.150
Pr: 0.023 0.250 0.350
Pr: 0.977 0.750 0.650
Pr: 0.477 0.750 0.850

Summary:
Its calculated volume is 20.53 A^3/atom. Its raw total energy is -91.17 eV per cell. The value obtained for the magnetic moment is 0.00 μB/atom. The space group is Pnma, No. 62.

---

Record 14
Density functional theory data (PBE) for a relaxed SrZnPb crystal.

Cell: 8.153 4.968 8.390 Å, 90.00 90.00 90.00°
Positions (direct):
Pb: 0.296 0.250 0.090
Pb: 0.796 0.250 0.410
Pb: 0.204 0.750 0.590
Pb: 0.704 0.750 0.910
Sr: 0.004 0.750 0.209
Sr: 0.504 0.750 0.291
Sr: 0.496 0.250 0.709
Sr: 0.996 0.250 0.791
Zn: 0.679 0.250 0.084
Zn: 0.179 0.250 0.416
Zn: 0.821 0.750 0.584
Zn: 0.321 0.750 0.916

Summary:
Its calculated volume is 28.32 A^3/atom. Its raw total energy is -31.33 eV per cell. The space group is Pnma, No. 62.

---

Record 15
Density functional theory data (PBE) for a relaxed ErTmGeC crystal.

Cell: 3.538 3.538 14.786 Å, 90.00 90.00 120.00°
Positions (direct):
C: 0.000 0.000 0.000
C: 0.000 0.000 0.500
Er: 0.333 0.667 0.409
Er: 0.667 0.333 0.591
Ge: 0.667 0.333 0.249
Ge: 0.333 0.667 0.751
Tm: 0.333 0.667 0.090
Tm: 0.667 0.333 0.910

Summary:
Its calculated volume is 20.03 A^3/atom. Its raw total energy is -49.92 eV per cell. The value obtained for the magnetic moment is 0.00 μB/atom. The space group is P-3m1, No. 164.

---

Record 16
Density functional theory data (PBE) for a relaxed RbZrCuTe2S crystal.

Cell: 8.397 8.397 10.239 Å, 90.00 90.00 152.40°
Positions (direct):
Cu: 0.973 0.027 0.250
Cu: 0.027 0.973 0.750
Rb: 0.230 0.770 0.250
Rb: 0.770 0.230 0.750
S: 0.547 0.453 0.250
S: 0.453 0.547 0.750
Te: 0.874 0.126 0.051
Te: 0.874 0.126 0.449
Te: 0.126 0.874 0.551
Te: 0.126 0.874 0.949
Zr: 0.500 0.500 0.000
Zr: 0.500 0.500 0.500

Summary:
Its calculated volume is 27.87 A^3/atom. Its raw total energy is -58.40 eV per cell. The value obtained for the magnetic moment is 0.00 μB/atom. The space group is Cmcm, No. 63.

---

Record 17
Density functional theory data (PBE) for a relaxed NaAl2Hg2 crystal.

Cell: 7.172 7.172 7.172 Å, 146.24 146.24 48.49°
Positions (direct):
Al: 0.750 0.250 0.500
Al: 0.250 0.750 0.500
Hg: 0.392 0.392 0.000
Hg: 0.608 0.608 0.000
Na: 0.000 0.000 0.000

Summary:
Its calculated volume is 22.69 A^3/atom. Its raw total energy is -9.50 eV per cell. The space group is I4/mmm, No. 139.

---

Record 18
Density functional theory data (PBE) for a relaxed Nb4GaC2S crystal.

Cell: 3.235 3.235 12.637 Å, 90.00 90.00 120.00°
Positions (direct):
C: 0.333 0.667 0.239
C: 0.333 0.667 0.761
Ga: 0.667 0.333 0.500
Nb: 0.667 0.333 0.144
Nb: 0.000 0.000 0.329
Nb: 0.000 0.000 0.671
Nb: 0.667 0.333 0.856
S: 0.000 0.000 0.000

Summary:
Its calculated volume is 14.32 A^3/atom. Its raw total energy is -71.12 eV per cell. The value obtained for the magnetic moment is 0.00 μB/atom. The space group is P-6m2, No. 187.

---

Record 19
Density functional theory data (PBE) for a relaxed HoHfFe crystal.

Cell: 4.480 4.480 4.480 Å, 60.00 60.00 60.00°
Positions (direct):
Fe: 0.000 0.000 0.000
Hf: 0.250 0.250 0.250
Ho: 0.750 0.750 0.750

Summary:
As for the energy of formation: 0.492 eV/f.u. Its calculated volume is 21.20 A^3/atom. The value obtained for the magnetic moment is 0.00 μB/atom. The space group is F-43m, No. 216.

---

Record 20
Density functional theory data (PBE) for a relaxed ZnFeCuB crystal.

Cell: 3.887 3.887 3.887 Å, 60.00 60.00 60.00°
Last column: magnetic moment on the atom in μB.
Positions (direct):
B: 0.000 0.000 0.000  -0.06
Cu: 0.500 0.500 0.500  0.04
Fe: 0.250 0.250 0.250  1.75
Zn: 0.750 0.750 0.750  -0.02

Summary:
Its calculated volume is 10.38 A^3/atom. The value obtained for the polymorph energy (0 for the lowest one) is 0.059 eV per atom. The value obtained for the magnetic moment is 0.42 μB/atom. The space group is F-43m, No. 216.